{
  "formula": "AcMnClO2",
  "functional": "PBE with a Hubbard U",
  "state": "optimized geometry",
  "lattice": [[-1.9234, -2.6141, 2.8521], [6.8256, -0.3497, 4.2826], [-5.7970, 5.4024, 1.0421]],
  "species": ["Mn", "O", "Mn", "Ac", "Cl", "Cl", "O", "O", "O", "Ac"],
  "frac_coords": [[0.2500, 0.6002, 0.4422], [0.2500, 0.4702, 0.6062], [0.7500, 0.3998, 0.5578], [0.7500, 0.3190, 0.0326], [0.7500, 0.0319, 0.2233], [0.2500, 0.9681, 0.7767], [0.7500, 0.5054, 0.8758], [0.7500, 0.5298, 0.3938], [0.2500, 0.4946, 0.1242], [0.2500, 0.6810, 0.9674]],
  "m_tot_mub_per_cell": 10.00,
  "dft_energy_ev_per_atom": -7.0803
}